# YBe2Ru | the Alexandria database | GGA-PBE | relaxed
# Polymorph energy (0 for the lowest one): 0.285 eV per atom
# Formation energy from the elements: 3 kJ per mole of atoms
# Volume: 15.38 Å³ per atom
data_YBe2Ru
_chemical_formula_sum 'Y1 Be2 Ru1'
_cell_length_a 3.130
_cell_length_b 3.130
_cell_length_c 6.281
_cell_angle_alpha 90.00
_cell_angle_beta 90.00
_cell_angle_gamma 90.00
_space_group_name_H-M_alt 'P 4 m m'
_space_group_IT_number 99
loop_
_space_group_symop_operation_xyz
'x,y,z'
'-y,x,z'
'-x,-y,z'
'y,-x,z'
'-x,y,z'
'y,x,z'
'x,-y,z'
'-y,-x,z'
loop_
_atom_site_label
_atom_site_fract_x
_atom_site_fract_y
_atom_site_fract_z
Y1 0.000 0.000 0.000
Be1 0.000 0.000 0.539
Be2 0.500 0.500 0.349
Ru1 0.500 0.500 0.694